# CaNiCO4, relaxed, DFT PBE+U
data_CaNiCO4
_chemical_formula_sum 'Ca2 Ni2 C2 O8'
_space_group_name_H-M_alt 'P 1'
_space_group_IT_number 1
_cell_length_a 5.838
_cell_length_b 5.739
_cell_length_c 5.739
_cell_angle_alpha 58.49
_cell_angle_beta 59.43
_cell_angle_gamma 59.43
loop_
_space_group_symop_operation_xyz
'x,y,z'
loop_
_atom_site_label
_atom_site_type_symbol
_atom_site_fract_x
_atom_site_fract_y
_atom_site_fract_z
_atom_site_occupancy
O1 O 0.275 0.259 0.191 1
O2 O 0.275 0.691 0.759 1
O3 O 0.323 0.730 0.230 1
O4 O 0.717 0.730 0.230 1
O5 O 0.677 0.270 0.770 1
O6 O 0.725 0.309 0.241 1
O7 O 0.283 0.270 0.770 1
O8 O 0.725 0.741 0.809 1
Ni1 Ni 0.000 0.000 0.500 1
Ni2 Ni 0.500 0.000 0.500 1
Ca1 Ca 0.000 0.000 0.000 1
Ca2 Ca 0.000 0.500 0.500 1
C1 C 0.611 0.639 0.139 1
C2 C 0.389 0.361 0.861 1
# density: 4.36 Mg/m³
# raw total energy: -0.4481 Ry/atom